[1]
{
  "formula": "Be3In",
  "functional": "PBE-GGA",
  "state": "relaxed",
  "final_energy_ev_per_cell": -25.8,
  "relative_energy_mev_per_atom": 15.7,
  "e_form_ev_per_atom": 0.25,
  "sg": "P-1 (2)",
  "vol_a3_per_atom": 12.9,
  "lattice": [[-0.717, 3.557, -0.718], [1.151, -2.647, -4.868], [-5.476, -0.627, 2.322]],
  "species": ["Be", "Be", "Be", "Be", "Be", "Be", "In", "In"],
  "fractional_positions": [[0.188, 0.877, 0.465], [0.062, 0.625, 0.689], [0.421, 0.342, 0.562], [0.812, 0.123, 0.535], [0.579, 0.658, 0.438], [0.938, 0.375, 0.311], [0.652, 0.803, 0.055], [0.348, 0.197, 0.945]]
}

=====

[2]
{
  "formula": "LaHPb2",
  "functional": "PBE-GGA",
  "state": "relaxed",
  "final_energy_ev_per_cell": -14.3,
  "relative_energy_mev_per_atom": 214.8,
  "sg": "Fm-3m (225)",
  "vol_a3_per_atom": 27.3,
  "lattice": [[1.110, -0.006, 5.250], [-3.812, 1.288, 3.550], [-2.093, -3.781, 3.181]],
  "species": ["Pb", "Pb", "La", "H"],
  "fractional_positions": [[0.750, 0.750, 0.750], [0.250, 0.250, 0.250], [0.500, 0.500, 0.500], [0.000, 0.000, 0.000]]
}

=====

[3]
{
  "formula": "CsMg2GeIr",
  "functional": "PBE-GGA",
  "state": "relaxed",
  "final_energy_ev_per_cell": -18.5,
  "e_form_ev_per_atom": -0.19,
  "sg": "P4/mmm (123)",
  "vol_a3_per_atom": 26.7,
  "lattice": [[-3.962, 0.551, -3.452], [2.685, -2.863, -3.538], [-2.025, -3.984, 1.688]],
  "species": ["Cs", "Ge", "Mg", "Mg", "Ir"],
  "fractional_positions": [[0.500, 0.500, 0.500], [0.000, 0.000, 0.500], [0.500, 0.000, 0.000], [0.000, 0.500, 0.000], [0.000, 0.000, 0.000]]
}